Record 1
La2Mg4CuPt, relaxed, DFT PBE; raw total energy = -29.46 eV for the cell shown
1.0
8.2670 0.0000 0.0000
0.0000 2.1774 5.1956
0.0000 -2.1774 5.1956
La Mg Cu Pt
2 4 1 1
Cartesian
0.0000 0.0000 0.0000
4.1335 0.0000 1.2382
1.6182 0.0000 7.3841
2.5248 0.0000 4.2109
5.7422 0.0000 4.2109
6.6488 0.0000 7.3841
0.0000 0.0000 2.9864
4.1335 0.0000 8.6466

=====

Record 2
Zr2TaBi, relaxed, DFT PBE; raw total energy = -32.15 eV for the cell shown
1.0
0.0000 3.5135 3.5135
3.5135 0.0000 3.5135
3.5135 3.5135 0.0000
Zr Ta Bi
2 1 1
Cartesian
0.0000 0.0000 0.0000
1.7567 1.7567 1.7567
5.2702 5.2702 5.2702
3.5135 3.5135 3.5135

=====

Record 3
ErLuCoSi2, relaxed, DFT PBE; raw total energy = -61.99 eV for the cell shown
1.0
5.1191 -2.0439 0.0000
5.1191 2.0439 0.0000
-4.7541 0.0000 8.6277
Er Lu Co Si
2 2 2 4
Cartesian
1.4064 0.0000 0.9217
4.0776 0.0000 7.7060
-1.5491 0.0000 2.8472
7.0331 0.0000 5.7806
-0.1705 0.0000 5.3693
5.6545 0.0000 3.2584
1.5455 0.0000 3.7447
4.4335 0.0000 1.0953
1.0505 0.0000 7.5324
3.9385 0.0000 4.8830

=====

Record 4
TePd15, relaxed, DFT PBE; raw total energy = -162.23 eV for the cell shown; energy above the lowest structure with this stoichiometry = 0.20 kcal/mol of atoms
1.0
5.5385 0.0000 0.0000
0.0000 3.9248 0.0000
-0.0045 0.0000 34.7845
Te Pd
2 30
Cartesian
0.6909 0.9812 6.9927
4.8431 2.9436 27.7917
0.6920 0.9812 9.7127
0.6915 0.9812 12.4957
0.6906 0.9812 15.3010
0.6905 0.9812 18.0956
0.6883 0.9812 20.8880
0.6921 0.9812 23.6870
0.7043 0.9812 26.5761
2.0744 2.9436 13.9000
2.0750 2.9436 16.6966
2.0749 2.9436 19.4919
2.0734 2.9436 22.2916
2.0728 2.9436 25.1166
2.0749 2.9436 27.9839
2.0802 2.9436 11.0990
2.0916 2.9436 8.2102
3.4424 0.9812 26.5743
3.4538 0.9812 23.6855
3.4591 0.9812 6.8006
3.4612 0.9812 9.6679
3.4606 0.9812 12.4929
3.4591 0.9812 15.2926
3.4590 0.9812 18.0879
3.4596 0.9812 20.8845
4.8297 2.9436 8.2083
4.8419 2.9436 11.0975
4.8457 2.9436 13.8965
4.8435 2.9436 16.6888
4.8434 2.9436 19.4835
4.8425 2.9436 22.2888
4.8420 2.9436 25.0718